The following is a DFT calculation (PBE-GGA) of a relaxed PaPRhO crystal.

The space group is P4/nmm (No. 129, origin choice 2) and the conventional cell measures 3.855, 3.855 and 8.082 Å, with angles of 90.00, 90.00 and 90.00 degrees. The inequivalent atoms are Pa at (0.250, 0.250, 0.169), P at (0.250, 0.250, 0.678), Rh at (0.250, 0.750, 0.500) and O at (0.250, 0.750, 0.000).

The value obtained for the magnetic moment is 0.00 μB per formula unit. The value obtained for the uncorrected formation energy is -2.01 eV/atom.